# AlAg2W

A geometry-optimized AlAg2W structure (PBE-GGA, Alexandria via LeMat-Bulk).

The total energy comes out at -21.748 eV per cell. The formation energy is 3.7 kcal/mol of atoms.

```
AlAg2W
1.0
2.781 0.000 0.000
0.000 2.781 0.000
0.000 0.000 8.544
Al Ag W
1 2 1
Direct
0.000 0.000 0.000
0.000 0.000 0.487
0.500 0.500 0.757
0.500 0.500 0.229
```

***

# AlAg2W

A geometry-optimized AlAg2W structure (PBE-GGA, Alexandria via LeMat-Bulk).

The total energy comes out at -20.965 eV per cell. The formation energy is 8.3 kcal/mol of atoms.

```
AlAg2W
1.0
1.526 -2.305 0.000
1.526 2.305 0.000
0.000 0.000 9.511
Al Ag W
1 2 1
Direct
0.000 0.000 0.000
0.500 0.500 0.240
0.500 0.500 0.760
0.000 0.000 0.500
```

***

# AlAg2W

A geometry-optimized AlAg2W structure (PBE-GGA, Alexandria via LeMat-Bulk).

The total energy comes out at -20.226 eV per cell. The formation energy is 12.5 kcal/mol of atoms.

```
AlAg2W
1.0
-1.940 1.940 4.447
1.940 -1.940 4.447
1.940 1.940 -4.447
Al Ag W
1 2 1
Direct
0.000 0.000 0.000
0.250 0.750 0.500
0.750 0.250 0.500
0.500 0.500 0.000
```

***

# AlAg2W

A geometry-optimized AlAg2W structure (PBE-GGA, Alexandria via LeMat-Bulk).

The total energy comes out at -20.097 eV per cell. The formation energy is 13.3 kcal/mol of atoms.

```
AlAg2W
1.0
-2.284 2.284 3.208
2.284 -2.284 3.208
2.284 2.284 -3.208
Al Ag W
1 2 1
Direct
0.000 0.000 0.000
0.500 0.500 0.000
0.750 0.250 0.500
0.250 0.750 0.500
```

***

# AlAgW2

A geometry-optimized AlAgW2 structure (PBE-GGA, Alexandria via LeMat-Bulk).

The total energy comes out at -31.859 eV per cell. The formation energy is 3.7 kcal/mol of atoms.

```
AlAgW2
1.0
1.603 -2.261 0.000
1.603 2.261 0.000
0.000 0.000 8.977
Al Ag W
1 1 2
Direct
0.000 0.000 0.000
0.500 0.500 0.246
0.000 0.000 0.516
0.500 0.500 0.760
```

***

# AlAg2W

A geometry-optimized AlAg2W structure (PBE-GGA, Alexandria via LeMat-Bulk).

The total energy comes out at -21.170 eV per cell. The formation energy is 7.1 kcal/mol of atoms.

```
AlAg2W
1.0
2.785 0.000 0.000
0.000 4.272 0.000
-1.382 0.000 5.589
Al Ag W
1 2 1
Direct
0.000 0.000 0.000
0.239 0.000 0.478
0.856 0.500 0.711
0.595 0.500 0.191
```

***

# AlAgW2

A geometry-optimized AlAgW2 structure (PBE-GGA, Alexandria via LeMat-Bulk).

The total energy comes out at -31.231 eV per cell. The formation energy is 7.3 kcal/mol of atoms.

```
AlAgW2
1.0
4.682 -1.366 0.000
4.682 1.366 0.000
-0.554 0.000 5.073
Al Ag W
1 1 2
Direct
0.000 0.000 0.000
0.751 0.751 0.220
0.256 0.256 0.726
0.502 0.502 0.508
```

***

# AlAg2W

A geometry-optimized AlAg2W structure (PBE-GGA, Alexandria via LeMat-Bulk).

The total energy comes out at -20.908 eV per cell. The formation energy is 8.6 kcal/mol of atoms.

```
AlAg2W
1.0
2.864 0.000 0.000
0.000 4.750 0.000
0.000 0.000 4.931
Al Ag W
1 2 1
Direct
0.000 0.000 0.000
0.000 0.500 0.500
0.500 0.000 0.500
0.500 0.500 0.000
```

***

# AlAgW2

A geometry-optimized AlAgW2 structure (PBE-GGA, Alexandria via LeMat-Bulk).

The total energy comes out at -63.332 eV per cell. The formation energy is 4.8 kcal/mol of atoms.

```
AlAgW2
1.0
2.748 0.000 0.000
-0.834 5.272 0.000
-0.593 -2.640 9.026
Al Ag W
2 2 4
Direct
0.000 0.000 0.000
0.076 0.823 0.254
0.606 0.733 0.490
0.749 0.294 0.250
0.091 0.626 0.755
0.233 0.239 0.527
0.407 0.517 0.004
0.561 0.122 0.765
```

***

# AlAgW2

A geometry-optimized AlAgW2 structure (PBE-GGA, Alexandria via LeMat-Bulk).

The total energy comes out at -63.155 eV per cell. The formation energy is 5.3 kcal/mol of atoms.

```
AlAgW2
1.0
2.746 0.000 0.000
-1.254 5.264 0.000
-0.180 -2.579 9.071
Al Ag W
2 2 4
Direct
0.000 0.000 0.000
0.370 0.520 0.011
0.796 0.338 0.252
0.995 0.854 0.248
0.177 0.659 0.760
0.400 0.233 0.524
0.476 0.740 0.505
0.672 0.162 0.776
```

***

# AlAgW2

A geometry-optimized AlAgW2 structure (PBE-GGA, Alexandria via LeMat-Bulk).

The total energy comes out at -31.575 eV per cell. The formation energy is 5.3 kcal/mol of atoms.

```
AlAgW2
1.0
2.782 0.000 0.000
0.000 4.402 0.000
-0.733 0.000 5.293
Al Ag W
1 1 2
Direct
0.000 0.000 0.000
0.997 0.500 0.753
0.405 0.000 0.486
0.612 0.500 0.243
```

***

# AlAg2W

A geometry-optimized AlAg2W structure (PBE-GGA, Alexandria via LeMat-Bulk).

The total energy comes out at -20.550 eV per cell. The formation energy is 10.7 kcal/mol of atoms.

```
AlAg2W
1.0
2.789 0.000 0.000
0.000 4.300 0.000
0.000 0.000 5.557
Al Ag W
1 2 1
Direct
0.000 0.000 0.000
0.500 0.500 0.251
0.500 0.500 0.749
0.000 0.000 0.500
```

***

# AlAgW3

A geometry-optimized AlAgW3 structure (PBE-GGA, Alexandria via LeMat-Bulk).

The total energy comes out at -31.705 eV per cell. The offset from the most stable computed form is 808 meV/atom. The formation energy is 63.4 kcal/mol of atoms.

```
AlAgW3
1.0
4.772 0.000 0.000
0.000 4.772 0.000
0.000 0.000 4.772
Al Ag W
1 1 3
Direct
0.000 0.000 0.000
0.500 0.500 0.500
0.000 0.500 0.500
0.500 0.000 0.500
0.500 0.500 0.000
```

***

# AlAgW2

A geometry-optimized AlAgW2 structure (PBE-GGA, Alexandria via LeMat-Bulk).

The total energy comes out at -31.263 eV per cell. The formation energy is 7.1 kcal/mol of atoms.

```
AlAgW2
1.0
2.679 -4.451 0.000
2.679 4.451 0.000
-0.459 0.000 2.692
Al Ag W
1 1 2
Direct
0.000 0.000 0.000
0.500 0.500 0.000
0.000 0.500 0.500
0.500 0.000 0.500
```

***

# AlAgW2

A geometry-optimized AlAgW2 structure (PBE-GGA, Alexandria via LeMat-Bulk).

The total energy comes out at -63.874 eV per cell. The formation energy is 3.2 kcal/mol of atoms.

```
AlAgW2
1.0
2.765 0.000 0.000
0.000 4.586 0.000
-1.381 0.000 10.276
Al Ag W
2 2 4
Direct
0.000 0.000 0.000
0.331 0.500 0.121
0.257 0.000 0.754
0.693 0.500 0.878
0.044 0.500 0.360
0.466 0.000 0.490
0.685 0.000 0.238
0.852 0.500 0.600
```

***

# AlAg2W

A geometry-optimized AlAg2W structure (PBE-GGA, Alexandria via LeMat-Bulk).

The total energy comes out at -20.727 eV per cell. The formation energy is 9.6 kcal/mol of atoms.

```
AlAg2W
1.0
2.732 -4.466 0.000
2.732 4.466 0.000
0.000 0.000 2.741
Al Ag W
1 2 1
Direct
0.000 0.000 0.000
0.000 0.500 0.500
0.500 0.000 0.500
0.500 0.500 0.000
```

***

# AlAg2W

A geometry-optimized AlAg2W structure (PBE-GGA, Alexandria via LeMat-Bulk).

The total energy comes out at -20.957 eV per cell. The formation energy is 8.3 kcal/mol of atoms.

```
AlAg2W
1.0
2.773 0.000 0.000
0.000 2.773 0.000
0.000 0.000 8.555
Al Ag W
1 2 1
Direct
0.000 0.000 0.000
0.500 0.500 0.239
0.500 0.500 0.761
0.000 0.000 0.500
```

***

# AlAgW2

A geometry-optimized AlAgW2 structure (PBE-GGA, Alexandria via LeMat-Bulk).

The total energy comes out at -62.989 eV per cell. The formation energy is 5.8 kcal/mol of atoms.

```
AlAgW2
1.0
4.463 0.000 0.000
0.000 4.509 0.000
0.000 0.000 6.514
Al Ag W
2 2 4
Direct
0.000 0.000 0.000
0.000 0.500 0.250
0.500 0.000 0.779
0.500 0.500 0.017
0.000 0.000 0.496
0.000 0.500 0.722
0.500 0.000 0.275
0.500 0.500 0.500
```

***

# AlAgW2

A geometry-optimized AlAgW2 structure (PBE-GGA, Alexandria via LeMat-Bulk).

The total energy comes out at -31.453 eV per cell. The formation energy is 6.0 kcal/mol of atoms.

```
AlAgW2
1.0
1.409 0.814 9.500
-1.409 0.814 9.500
0.000 -1.627 9.500
Al Ag W
1 1 2
Direct
0.000 0.000 0.000
0.252 0.252 0.252
0.497 0.497 0.497
0.746 0.746 0.746
```

***

# AlAg2W

A geometry-optimized AlAg2W structure (PBE-GGA, Alexandria via LeMat-Bulk).

The total energy comes out at -21.094 eV per cell. The formation energy is 7.5 kcal/mol of atoms.

```
AlAg2W
1.0
2.762 -4.955 0.000
2.762 4.955 0.000
-1.178 0.000 2.452
Al Ag W
1 2 1
Direct
0.000 0.000 0.000
0.000 0.500 0.500
0.500 0.000 0.500
0.500 0.500 0.000
```

***

# AlAgW2

A geometry-optimized AlAgW2 structure (PBE-GGA, Alexandria via LeMat-Bulk).

The total energy comes out at -62.422 eV per cell. The formation energy is 7.4 kcal/mol of atoms.

```
AlAgW2
1.0
4.973 0.000 0.000
0.000 5.070 0.000
-0.121 -0.007 5.199
Al Ag W
2 2 4
Direct
0.000 0.000 0.000
0.265 0.499 0.249
0.504 0.999 0.207
0.765 0.499 0.222
0.016 0.000 0.515
0.026 0.500 0.741
0.517 0.248 0.703
0.517 0.752 0.702
```

***

# AlAgW2

A geometry-optimized AlAgW2 structure (PBE-GGA, Alexandria via LeMat-Bulk).

The total energy comes out at -31.068 eV per cell. The formation energy is 8.3 kcal/mol of atoms.

```
AlAgW2
1.0
-1.910 1.910 4.421
1.910 -1.910 4.421
1.910 1.910 -4.421
Al Ag W
1 1 2
Direct
0.000 0.000 0.000
0.500 0.500 0.000
0.250 0.750 0.500
0.750 0.250 0.500
```

***

# AlAgW2

A geometry-optimized AlAgW2 structure (PBE-GGA, Alexandria via LeMat-Bulk).

The total energy comes out at -30.972 eV per cell. The formation energy is 8.8 kcal/mol of atoms.

```
AlAgW2
1.0
1.409 0.813 9.486
-1.409 0.813 9.486
0.000 -1.626 9.486
Al Ag W
1 1 2
Direct
0.000 0.000 0.000
0.500 0.500 0.500
0.254 0.254 0.254
0.746 0.746 0.746
```

***

# AlAgW2

A geometry-optimized AlAgW2 structure (PBE-GGA, Alexandria via LeMat-Bulk).

The total energy comes out at -31.280 eV per cell. The formation energy is 7.0 kcal/mol of atoms.

```
AlAgW2
1.0
2.730 0.000 0.000
0.000 4.443 0.000
-0.860 0.000 5.313
Al Ag W
1 1 2
Direct
0.000 0.000 0.000
0.000 0.000 0.500
0.484 0.500 0.235
0.516 0.500 0.765
```

***

# AlAgW2

A geometry-optimized AlAgW2 structure (PBE-GGA, Alexandria via LeMat-Bulk).

The total energy comes out at -31.262 eV per cell. The formation energy is 7.1 kcal/mol of atoms.

```
AlAgW2
1.0
4.197 0.000 0.000
0.000 3.369 0.000
-0.051 0.000 4.544
Al Ag W
1 1 2
Direct
0.000 0.000 0.000
0.500 0.500 0.000
0.000 0.500 0.500
0.500 0.000 0.500
```

***

# AlAgW2

A geometry-optimized AlAgW2 structure (PBE-GGA, Alexandria via LeMat-Bulk).

The total energy comes out at -31.212 eV per cell. The formation energy is 7.4 kcal/mol of atoms.

```
AlAgW2
1.0
2.722 0.000 0.000
0.000 2.722 0.000
0.000 0.000 8.646
Al Ag W
1 1 2
Direct
0.000 0.000 0.000
0.000 0.000 0.500
0.500 0.500 0.236
0.500 0.500 0.764
```

***

# AlAgW2

A geometry-optimized AlAgW2 structure (PBE-GGA, Alexandria via LeMat-Bulk).

The total energy comes out at -31.458 eV per cell. The formation energy is 6.0 kcal/mol of atoms.

```
AlAgW2
1.0
3.288 0.000 0.000
0.000 3.288 0.000
0.000 0.000 6.120
Al Ag W
1 1 2
Direct
0.000 0.000 0.000
0.500 0.500 0.774
0.000 0.000 0.466
0.500 0.500 0.266
```

***

# AlAgW2

A geometry-optimized AlAgW2 structure (PBE-GGA, Alexandria via LeMat-Bulk).

The total energy comes out at -63.232 eV per cell. The formation energy is 5.1 kcal/mol of atoms.

```
AlAgW2
1.0
9.219 0.000 0.000
0.000 2.762 0.000
-0.234 0.000 5.156
Al Ag W
2 2 4
Direct
0.000 0.200 0.000
0.000 0.800 0.500
0.757 0.282 0.304
0.757 0.718 0.804
0.239 0.316 0.330
0.239 0.684 0.830
0.488 0.164 0.583
0.488 0.836 0.083
```

***

# AlAg2W

A geometry-optimized AlAg2W structure (PBE-GGA, Alexandria via LeMat-Bulk).

The total energy comes out at -39.165 eV per cell. The formation energy is 16.2 kcal/mol of atoms.

```
AlAg2W
1.0
-1.882 1.882 10.114
1.882 -1.882 10.114
1.882 1.882 -10.114
Al Ag W
2 4 2
Direct
0.000 0.000 0.000
0.750 0.250 0.500
0.123 0.625 0.998
0.375 0.373 0.498
0.627 0.125 0.002
0.875 0.877 0.502
0.250 0.750 0.500
0.500 0.500 0.000
```

***

Calculated total moment (μB/atom), listed in the same order as above: 0.000; 0.000; 0.160; 0.357; 0.000; 0.000; 0.000; 0.000; 0.000; 0.000; 0.000; 0.000; 0.000; 0.000; 0.000; 0.000; 0.000; 0.000; 0.000; 0.000; 0.000; 0.000; 0.000; 0.000; 0.000; 0.000; 0.000; 0.000; 0.000